Below is a geometry-optimized InCuOs2 structure, with properties calculated at the PBE-GGA level.

a = 9.133 Å, b = 9.133 Å, c = 9.133 Å
α = 17.85°, β = 17.85°, γ = 17.85°
Atoms (fractional coordinates):
Os (0.251, 0.251, 0.251)
Os (0.994, 0.994, 0.994)
Cu (0.504, 0.504, 0.504)
In (0.751, 0.751, 0.751)

Values from the calculation:
The space group is R3m (160). As for the total magnetization: 0.00 μB/cell. Its formation energy is 419.3 meV/atom.


Below is a geometry-optimized Dy13Er2 structure, with properties calculated at the PBE-GGA level.

a = 6.970 Å, b = 6.970 Å, c = 12.119 Å
α = 73.29°, β = 73.29°, γ = 60.00°
Atoms (fractional coordinates):
Dy (0.500, 0.500, 0.500)
Dy (0.791, 0.791, 0.126)
Dy (0.209, 0.209, 0.874)
Dy (0.209, 0.709, 0.874)
Dy (0.543, 0.047, 0.364)
Dy (0.047, 0.047, 0.364)
Dy (0.953, 0.457, 0.636)
Dy (0.791, 0.291, 0.126)
Dy (0.953, 0.953, 0.636)
Dy (0.709, 0.209, 0.874)
Dy (0.291, 0.791, 0.126)
Dy (0.047, 0.543, 0.364)
Dy (0.457, 0.953, 0.636)
Er (0.706, 0.706, 0.881)
Er (0.294, 0.294, 0.119)

Values from the calculation:
The space group is R-3m (166). As for the total magnetization: 0.00 μB/cell. Its formation energy is 162.4 meV/atom.


Below is a geometry-optimized SmMnGa11 structure, with properties calculated at the PBE-GGA level.

a = 5.639 Å, b = 6.752 Å, c = 7.120 Å
α = 83.93°, β = 66.67°, γ = 74.52°
Atoms (fractional coordinates):
Ga (0.956, 0.374, 0.659)
Ga (0.615, 0.374, 0.341)
Ga (0.500, 0.000, 0.500)
Ga (0.494, 0.791, 0.203)
Ga (0.506, 0.209, 0.797)
Ga (0.697, 0.791, 0.797)
Ga (0.000, 0.000, 0.500)
Ga (0.385, 0.626, 0.659)
Ga (0.303, 0.209, 0.203)
Ga (0.044, 0.626, 0.341)
Ga (0.000, 0.500, 0.000)
Mn (0.500, 0.500, 0.000)
Sm (0.000, 0.000, 0.000)

Values from the calculation:
The space group is C2/m (12). As for the total magnetization: 2.66 μB/cell. Its formation energy is -113.4 meV/atom.


Below is a geometry-optimized Rb3CePa2N6 structure, with properties calculated at the PBE-GGA level.

a = 6.275 Å, b = 6.275 Å, c = 7.063 Å
α = 98.53°, β = 98.53°, γ = 119.99°
Atoms (fractional coordinates):
Pa (0.667, 0.333, 0.000)
Pa (0.333, 0.667, 0.000)
N (0.708, 0.708, 0.156)
N (0.396, 0.052, 0.157)
N (0.292, 0.292, 0.844)
N (0.948, 0.604, 0.843)
N (0.052, 0.396, 0.157)
N (0.604, 0.948, 0.843)
Rb (0.835, 0.165, 0.500)
Rb (0.500, 0.500, 0.500)
Rb (0.165, 0.835, 0.500)
Ce (0.000, 0.000, 0.000)

Values from the calculation:
The final energy comes out at -7.4334 eV/atom. The space group is C2/m (12). As for the total magnetization: 0.00 μB/cell.


Below is a geometry-optimized MnCu2Au8 structure, with properties calculated at the PBE-GGA level.

a = 4.129 Å, b = 6.523 Å, c = 7.508 Å
α = 107.07°, β = 105.96°, γ = 90.00°
Atoms (fractional coordinates):
Au (0.955, 0.268, 0.910)
Au (0.143, 0.201, 0.287)
Au (0.320, 0.078, 0.639)
Au (0.045, 0.732, 0.090)
Au (0.680, 0.922, 0.361)
Au (0.857, 0.799, 0.713)
Au (0.601, 0.460, 0.202)
Au (0.399, 0.540, 0.798)
Cu (0.224, 0.638, 0.449)
Cu (0.776, 0.362, 0.551)
Mn (0.500, 0.000, 0.000)

Values from the calculation:
The space group is C2/m (12). As for the total magnetization: 4.20 μB/cell. Its formation energy is -37.5 meV/atom.


Below is a geometry-optimized PdPtC3 structure, with properties calculated at the PBE-GGA level.

a = 4.009 Å, b = 4.009 Å, c = 4.009 Å
α = 90.00°, β = 90.00°, γ = 90.00°
Atoms (fractional coordinates):
Pt (0.000, 0.000, 0.000)
C (0.500, 0.000, 0.000)
C (0.000, 0.500, 0.000)
C (0.000, 0.000, 0.500)
Pd (0.500, 0.500, 0.500)

Values from the calculation:
The space group is Pm-3m (221). As for the total magnetization: 0.00 μB/cell. Its formation energy is 2473.8 meV/atom.


Below is a geometry-optimized La2In3Pb3 structure, with properties calculated at the PBE-GGA level.

a = 4.974 Å, b = 4.835 Å, c = 9.610 Å
α = 90.00°, β = 90.00°, γ = 90.00°
Atoms (fractional coordinates):
In (0.500, 0.500, 0.242)
In (0.500, 0.000, 0.000)
In (0.500, 0.500, 0.758)
Pb (0.500, 0.000, 0.500)
Pb (0.000, 0.500, 0.500)
Pb (0.000, 0.500, 0.000)
La (0.000, 0.000, 0.751)
La (0.000, 0.000, 0.249)

Values from the calculation:
The space group is Pmmm (47). As for the total magnetization: 0.00 μB/cell. Its formation energy is -464.4 meV/atom.


Below is a geometry-optimized Y3TlO structure, with properties calculated at the PBE-GGA level.

a = 5.305 Å, b = 7.094 Å, c = 7.094 Å
α = 75.52°, β = 90.00°, γ = 90.00°
Atoms (fractional coordinates):
Y (0.561, 0.015, 0.750)
Y (0.061, 0.234, 0.967)
Y (0.557, 0.940, 0.260)
Y (0.057, 0.308, 0.458)
Y (0.065, 0.723, 0.044)
Y (0.565, 0.525, 0.673)
O (0.311, 0.273, 0.710)
O (0.811, 0.976, 0.008)
Tl (0.561, 0.441, 0.175)
Tl (0.061, 0.808, 0.543)

Values from the calculation:
The final energy comes out at -6.6876 eV/atom. The space group is P2_1 (4). As for the total magnetization: 0.00 μB/cell.